Entry P
Mn5Mo3: relaxed, GGA-PBE.

Results
Total magnetization = 0.13 μB/cell
Space-group type = P2_1/m (11)

a b c (Å): 8.5088 8.4909 4.5693
angles (deg): 90.00 90.00 40.90
Last column: nearest neighbours and their distance in Å.
Positions (direct):
Mn: 0.3597 0.3618 0.9997  4 Mn 2.28-2.54
Mn: 0.7596 0.0057 0.7500  2 Mo 2.37-2.40, 3 Mn 2.38-2.54
Mn: 0.8735 0.1288 0.2500  2 Mn 2.38-2.39
Mn: 0.2404 0.9943 0.2500  2 Mo 2.37-2.40, 3 Mn 2.38-2.54
Mn: 0.3597 0.3618 0.5003  4 Mn 2.28-2.54
Mn: 0.6404 0.6383 0.4997  4 Mn 2.28-2.54
Mn: 0.0040 0.7624 0.2500  2 Mo 2.38-2.41, 3 Mn 2.39-2.54
Mn: 0.1264 0.8712 0.7500  2 Mn 2.38-2.39
Mn: 0.9961 0.2376 0.7500  2 Mo 2.38-2.41, 3 Mn 2.39-2.54
Mn: 0.6404 0.6383 0.0003  4 Mn 2.28-2.54
Mo: 0.9447 0.6140 0.7500  3 Mn 2.37-2.63
Mo: 0.0554 0.3860 0.2500  3 Mn 2.37-2.63
Mo: 0.6215 0.3786 0.7500  6 Mn 2.40-2.60
Mo: 0.3863 0.0547 0.7500  3 Mn 2.38-2.63
Mo: 0.6137 0.9453 0.2500  3 Mn 2.38-2.63
Mo: 0.3785 0.6214 0.2500  6 Mn 2.40-2.60

Entry Q
Mn5Mo3: relaxed, GGA-PBE.

Results
Total magnetization = 4.11 μB/cell
Space-group type = Cmmm (65)

a b c (Å): 5.1271 5.1271 4.1817
angles (deg): 90.00 90.00 109.07
Last column: nearest neighbours and their distance in Å.
Positions (direct):
Mn: 0.5000 0.0000 0.0000  2 Mn 2.56, 6 Mo 2.56-2.57
Mn: 0.2564 0.2564 0.5000  6 Mo 2.50-2.63, 2 Mn 2.59
Mn: 0.0000 0.0000 0.0000  8 Mn 2.56-2.59
Mn: 0.0000 0.5000 0.0000  2 Mn 2.56, 6 Mo 2.56-2.57
Mn: 0.7436 0.7436 0.5000  6 Mo 2.50-2.63, 2 Mn 2.59
Mo: 0.2378 0.7622 0.5000  8 Mn 2.50-2.63
Mo: 0.7622 0.2378 0.5000  8 Mn 2.50-2.63
Mo: 0.5000 0.5000 0.0000  8 Mn 2.54-2.56

The calculated energies rank the structures as follows, beginning with the most stable: entry Q, entry P.

Entry P
MnMoN: relaxed, GGA-PBE.

Results
Total magnetization = 9.86 μB/cell
Space-group type = P2_1/c (14)

a b c (Å): 4.5943 5.1241 5.8492
angles (deg): 90.00 90.00 90.38
Last column: nearest neighbours and their distance in Å.
Positions (direct):
Mo: 0.7559 0.0792 0.8824  3 N 2.06-2.13
Mo: 0.2441 0.4208 0.3824  3 N 2.06-2.13
Mo: 0.7559 0.5792 0.6176  3 N 2.06-2.13
Mo: 0.2441 0.9208 0.1176  3 N 2.06-2.13
Mn: 0.2466 0.9023 0.6208  3 N 2.02-2.05
Mn: 0.7534 0.5977 0.1208  3 N 2.02-2.05
Mn: 0.7534 0.0977 0.3792  3 N 2.02-2.05
Mn: 0.2466 0.4023 0.8792  3 N 2.02-2.05
N: 0.5085 0.2642 0.1270  3 Mn 2.02-2.05, 3 Mo 2.06-2.13
N: 0.4915 0.2358 0.6270  3 Mn 2.02-2.05, 3 Mo 2.06-2.13
N: 0.4915 0.7358 0.8730  3 Mn 2.02-2.05, 3 Mo 2.06-2.13
N: 0.5085 0.7642 0.3730  3 Mn 2.02-2.05, 3 Mo 2.06-2.13

Entry Q
MnMoN: relaxed, GGA-PBE.

Results
Total magnetization = 0.00 μB/cell
Space-group type = I4mm (107)

a b c (Å): 2.6007 2.6007 4.9398
angles (deg): 105.26 105.26 90.00
Last column: nearest neighbours and their distance in Å.
Positions (direct):
Mo: 0.0120 0.0120 0.0241  4 N 2.50, 5 Mn 2.56-2.74, 4 Mo 2.60
N: 0.6972 0.6972 0.3945  4 Mn 2.03
Mn: 0.2907 0.2907 0.5815  4 N 2.03

The calculated energies rank the structures as follows, beginning with the most stable: entry P, entry Q.

Entry P
MnMoSe2N: relaxed, GGA-PBE.

Results
Total magnetization = 5.09 μB/cell
Space-group type = P4/mmm (123)

a b c (Å): 5.0889 5.0889 3.7870
angles (deg): 90.00 90.00 90.00
Last column: nearest neighbours and their distance in Å.
Positions (direct):
N: 0.0000 0.0000 0.5000  2 Mo 1.89
Se: 0.5000 0.0000 0.0000  2 Mo 2.54
Se: 0.0000 0.5000 0.0000  2 Mo 2.54
Mo: 0.0000 0.0000 0.0000  2 N 1.89
Mn: 0.5000 0.5000 0.5000  8 Se 3.17

Entry Q
MnMoSe2N: relaxed, GGA-PBE.

Results
Total magnetization = 4.35 μB/cell
Space-group type = P4/mmm (123)

a b c (Å): 4.9225 4.9225 3.4368
angles (deg): 90.00 90.00 90.00
Last column: nearest neighbours and their distance in Å.
Positions (direct):
Mn: 0.0000 0.0000 0.0000  2 N 1.72
Mo: 0.5000 0.5000 0.5000  8 Se 3.00
N: 0.0000 0.0000 0.5000  2 Mn 1.72
Se: 0.0000 0.5000 0.0000  2 Mn 2.46
Se: 0.5000 0.0000 0.0000  2 Mn 2.46

The calculated energies rank the structures as follows, beginning with the most stable: entry P, entry Q.